# 1
First-principles (GGA-PBE) data for crystalline GdLuSiNi at its relaxed geometry, as listed in Alexandria via LeMat-Bulk.

Lattice parameters (Å, degrees): 6.862 6.862 6.862 90.00 90.00 90.00
Fractional positions:
Gd 0.000 0.000 0.000
Gd 0.000 0.500 0.500
Gd 0.500 0.000 0.500
Gd 0.500 0.500 0.000
Lu 0.000 0.000 0.500
Lu 0.000 0.500 0.000
Lu 0.500 0.000 0.000
Lu 0.500 0.500 0.500
Si 0.250 0.250 0.750
Si 0.250 0.750 0.250
Si 0.750 0.250 0.250
Si 0.750 0.750 0.750
Ni 0.250 0.250 0.250
Ni 0.250 0.750 0.750
Ni 0.750 0.250 0.750
Ni 0.750 0.750 0.250

Output
Calculated volume   20.191 Å³ per atom
E   -126.9 eV/cell


# 2
First-principles (GGA-PBE) data for crystalline Ba2Ga5Cu3 at its relaxed geometry, as listed in Alexandria via LeMat-Bulk.

Lattice parameters (Å, degrees): 8.863 8.863 8.863 105.13 89.78 137.98
Fractional positions:
Ba 0.127 0.247 0.374
Ba 0.373 0.747 0.120
Ba 0.627 0.253 0.880
Ba 0.873 0.753 0.626
Ga 0.007 0.750 0.257
Ga 0.121 0.874 0.995
Ga 0.250 0.750 0.500
Ga 0.379 0.374 0.753
Ga 0.493 0.750 0.743
Ga 0.507 0.250 0.257
Ga 0.621 0.626 0.247
Ga 0.750 0.250 0.500
Ga 0.879 0.126 0.005
Ga 0.993 0.250 0.743
Cu 0.122 0.624 0.746
Cu 0.250 0.250 0.000
Cu 0.378 0.124 0.502
Cu 0.622 0.876 0.498
Cu 0.750 0.750 0.000
Cu 0.878 0.376 0.254

Output
Calculated volume   21.500 Å³ per atom
Formation energy   -0.287 eV/atom
E   -68.3 eV/cell


# 3
First-principles (GGA-PBE) data for crystalline LiHf at its relaxed geometry, as listed in Alexandria via LeMat-Bulk.

Lattice parameters (Å, degrees): 4.643 4.643 5.260 90.00 90.00 120.00
Fractional positions:
Li 0.333 0.667 0.250
Li 0.667 0.333 0.750
Hf 0.333 0.667 0.750
Hf 0.667 0.333 0.250

Output
Energy above the most stable polymorph in this dataset   1347 meV per atom
Calculated volume   24.550 Å³ per atom
Formation energy   1.671 eV/atom
E   -17.0 eV/cell


Which of these has the highest calculated volume? LiHf